The following is a DFT calculation (PBE) of a relaxed Pr7Dy2Er3 crystal.

Output
energy relative to the elements	0.2777	eV/atom
E above lowest polymorph	184	meV/atom
D(E_F)	18.2	states/eV/f.u.
M_tot	0.00	μB/atom
symmetry	P2/m

The structure in POSCAR format:
```
Pr7Dy2Er3
1.0
-5.424 -0.145 1.148
0.581 -5.975 1.993
2.319 4.054 11.471
Pr Dy Er
7 2 3
Cartesian
-1.513 0.306 6.286
-1.011 -2.371 8.326
0.687 -1.911 3.008
0.000 0.000 0.000
-3.212 -0.154 11.604
-0.264 -2.154 11.881
-2.260 0.089 2.731
-1.714 -2.635 4.968
-0.810 0.569 9.645
-2.422 -3.060 1.570
-4.084 -4.316 6.954
1.560 2.251 7.658
```